The following is a DFT calculation (GGA-PBE) of crystalline ScPb6 at its relaxed geometry.

It has space group Im-3m (No. 229), with a = 8.553 Å, b = 8.553 Å, c = 8.553 Å, α = 90.00°, β = 90.00° and γ = 90.00°. The distinct sites, in fractional coordinates, are Sc at (0.000, 0.000, 0.000) and Pb at (0.000, 0.250, 0.500).

As for the density of states at the Fermi level: 18.78 states/eV/cell. As for the total magnetization: 3.30 μB per cell. The density is 6.84 g/cm3.

The following is a DFT calculation (GGA-PBE) of crystalline ScPb5 at its relaxed geometry.

It has space group Amm2 (No. 38), with a = 5.453 Å, b = 3.683 Å, c = 17.489 Å, α = 90.00°, β = 90.00° and γ = 90.00°. The distinct sites, in fractional coordinates, are Sc at (0.000, 0.000, 0.000), Pb at (0.000, 0.000, 0.340), Pb at (0.000, 0.000, 0.657), Pb at (0.500, 0.000, 0.126), Pb at (0.500, 0.000, 0.469) and Pb at (0.500, 0.000, 0.793).

As for the density of states at the Fermi level: 10.23 states/eV/cell. The calculation puts the energy relative to the lowest polymorph listed for this composition at 0.12 eV/f.u. As for the total magnetization: 0.00 μB per cell. The density is 10.22 g/cm3.

The following is a DFT calculation (GGA-PBE) of crystalline ScPb4 at its relaxed geometry.

It has space group I4/m (No. 87), with a = 7.892 Å, b = 7.892 Å, c = 4.573 Å, α = 90.00°, β = 90.00° and γ = 90.00°. The distinct sites, in fractional coordinates, are Sc at (0.000, 0.000, 0.000) and Pb at (0.109, 0.293, 0.500).

As for the density of states at the Fermi level: 6.65 states/eV/cell. The calculation puts the energy relative to the lowest polymorph listed for this composition at 0.10 eV/f.u. As for the total magnetization: 0.00 μB per cell. The density is 10.19 g/cm3.

The following is a DFT calculation (GGA-PBE) of crystalline Sc8Pb at its relaxed geometry.

It has space group I4/mmm (No. 139), with a = 9.869 Å, b = 9.869 Å, c = 4.479 Å, α = 90.00°, β = 90.00° and γ = 90.00°. The distinct sites, in fractional coordinates, are Sc at (0.000, 0.337, 0.000), Sc at (0.165, 0.165, 0.500) and Pb at (0.000, 0.000, 0.000).

As for the density of states at the Fermi level: 32.25 states/eV/cell. As for the total magnetization: 1.33 μB per cell. The density is 4.32 g/cm3.

So what do the calculations give for DFT formation energy? Going down the list: 5.0; -0.2; -0.3; -0.9 eV per formula unit.